Run a
Compound: CaWCl2
Source: the Alexandria database
Functional: SCAN
Structure: PBEsol geometry

a = 4.552 Å, b = 3.019 Å, c = 5.570 Å
α = 90.00°, β = 112.72°, γ = 90.00°
Space group P2/m (No. 10)
Unique sites:
1 Ca 0.000 0.000 0.000 (multiplicity 1)
2 W 0.500 0.500 0.500 (multiplicity 1)
3 Cl 0.000 0.000 0.500 (multiplicity 1)
4 Cl 0.500 0.500 0.000 (multiplicity 1)


Run b
Compound: CaWCl2
Source: the Alexandria database
Functional: SCAN
Structure: PBEsol geometry

a = 6.537 Å, b = 6.537 Å, c = 6.537 Å
α = 90.00°, β = 90.00°, γ = 90.00°
Space group Fm-3m (No. 225)
Unique sites:
1 Ca 0.000 0.000 0.000 (multiplicity 4)
2 W 0.000 0.000 0.500 (multiplicity 4)
3 Cl 0.250 0.250 0.250 (multiplicity 8)


We find run a to be the most stable, with the next structure 328 meV/atom higher.